# PrDy2Er6Sc3, optimized geometry, DFT PBE
# Magnetic moment   0.0 μB per cell
# Symmetry   No. 12
# E   -4.984 eV per atom
# Calculated volume   354.75 Å³ per cell
data_PrDy2Er6Sc3
_chemical_formula_sum 'Pr1 Dy2 Er6 Sc3'
_space_group_name_H-M_alt 'P 1'
_space_group_IT_number 1
_space_group_name_Hall 'P 1'
_cell_length_a 6.0278
_cell_length_b 6.0278
_cell_length_c 11.4484
_cell_angle_alpha 95.03
_cell_angle_beta 95.03
_cell_angle_gamma 119.98
loop_
_atom_site_label
_atom_site_type_symbol
_atom_site_fract_x
_atom_site_fract_y
_atom_site_fract_z
Dy1 Dy 0.6666 0.3334 0.0000
Dy2 Dy 0.3334 0.6666 0.0000
Pr1 Pr 0.0000 0.0000 0.0000
Er1 Er 0.9128 0.5789 0.7397
Er2 Er 0.7533 0.7533 0.2604
Er3 Er 0.2467 0.2467 0.7396
Er4 Er 0.4211 0.0872 0.2603
Er5 Er 0.0872 0.4211 0.2603
Er6 Er 0.5789 0.9128 0.7397
Sc1 Sc 0.1670 0.8330 0.5000
Sc2 Sc 0.8330 0.1670 0.5000
Sc3 Sc 0.5000 0.5000 0.5000

=====

# Pr2Dy6Er3Sc, optimized geometry, DFT PBE
# Magnetic moment   0.0 μB per cell
# Symmetry   No. 12
# E   -4.739 eV per atom
# Calculated volume   375.69 Å³ per cell
data_Pr2Dy6Er3Sc
_chemical_formula_sum 'Pr2 Dy6 Er3 Sc1'
_space_group_name_H-M_alt 'P 1'
_space_group_IT_number 1
_space_group_name_Hall 'P 1'
_cell_length_a 6.1222
_cell_length_b 6.1222
_cell_length_c 11.7485
_cell_angle_alpha 94.98
_cell_angle_beta 94.98
_cell_angle_gamma 119.97
loop_
_atom_site_label
_atom_site_type_symbol
_atom_site_fract_x
_atom_site_fract_y
_atom_site_fract_z
Dy1 Dy 0.5862 0.9164 0.7476
Dy2 Dy 0.0836 0.4138 0.2524
Dy3 Dy 0.2460 0.2460 0.7471
Dy4 Dy 0.4138 0.0836 0.2524
Dy5 Dy 0.7540 0.7540 0.2529
Dy6 Dy 0.9164 0.5862 0.7476
Er1 Er 0.1660 0.8340 0.5000
Er2 Er 0.5000 0.5000 0.5000
Er3 Er 0.8340 0.1660 0.5000
Sc1 Sc 0.0000 0.0000 0.0000
Pr1 Pr 0.3337 0.6663 0.0000
Pr2 Pr 0.6663 0.3337 0.0000

=====

# PrDy6Er3Sc2, optimized geometry, DFT PBE
# Magnetic moment   0.0 μB per cell
# Symmetry   No. 12
# E   -4.858 eV per atom
# Calculated volume   363.86 Å³ per cell
data_PrDy6Er3Sc2
_chemical_formula_sum 'Pr1 Dy6 Er3 Sc2'
_space_group_name_H-M_alt 'P 1'
_space_group_IT_number 1
_space_group_name_Hall 'P 1'
_cell_length_a 6.0603
_cell_length_b 6.0603
_cell_length_c 11.6102
_cell_angle_alpha 94.97
_cell_angle_beta 94.97
_cell_angle_gamma 119.96
loop_
_atom_site_label
_atom_site_type_symbol
_atom_site_fract_x
_atom_site_fract_y
_atom_site_fract_z
Er1 Er 0.5000 0.5000 0.5000
Er2 Er 0.8327 0.1673 0.5000
Er3 Er 0.1673 0.8327 0.5000
Pr1 Pr 0.0000 0.0000 0.0000
Sc1 Sc 0.3333 0.6667 0.0000
Sc2 Sc 0.6667 0.3333 0.0000
Dy1 Dy 0.2531 0.2531 0.7520
Dy2 Dy 0.0834 0.4196 0.2481
Dy3 Dy 0.9166 0.5804 0.7519
Dy4 Dy 0.4196 0.0834 0.2481
Dy5 Dy 0.7469 0.7469 0.2480
Dy6 Dy 0.5804 0.9166 0.7519